Record 1
First-principles (PBE-GGA) data for KZr2Pb after structural relaxation, as listed in Alexandria.

Unit cell a=5.2187 b=5.2187 c=5.2187 alpha=60.00 beta=60.00 gamma=60.00
Fractional coordinates of all 4 atoms:
Pb: 0.5000 0.5000 0.5000
K: 0.0000 0.0000 0.0000
Zr: 0.2500 0.2500 0.2500
Zr: 0.7500 0.7500 0.7500

## Properties
The value obtained for the offset from the most stable computed form is 505 meV per atom. For the total energy, the calculation gives -19.5 eV per cell. As for the energy of formation from the pure elements: 0.608 eV per atom. The space group is Fm-3m, No. 225.


Record 2
First-principles (PBE-GGA) data for ScTl after structural relaxation, as listed in Alexandria.

Unit cell a=10.4885 b=10.4885 c=10.4885 alpha=18.68 beta=18.68 gamma=18.68
Fractional coordinates of all 4 atoms:
Sc: 0.0020 0.0020 0.0020
Sc: 0.7480 0.7480 0.7480
Tl: 0.4982 0.4982 0.4982
Tl: 0.2518 0.2518 0.2518

## Properties
For the total energy, the calculation gives -17.5 eV per cell. As for the energy of formation from the pure elements: -0.020 eV per atom. The space group is R-3m, No. 166.


Record 3
First-principles (PBE-GGA) data for CaTb12Dy6 after structural relaxation, as listed in Alexandria.

Unit cell a=9.3749 b=9.3749 c=9.3749 alpha=108.07 beta=108.07 gamma=108.07
Fractional coordinates of all 19 atoms:
Ca: 0.0000 0.0000 0.0000
Tb: 0.8891 0.1109 0.5000
Tb: 0.3665 0.1500 0.3665
Tb: 0.3665 0.3665 0.1500
Tb: 0.8500 0.6335 0.6335
Tb: 0.6335 0.6335 0.8500
Tb: 0.6335 0.8500 0.6335
Tb: 0.5000 0.8891 0.1109
Tb: 0.1109 0.5000 0.8891
Tb: 0.1109 0.8891 0.5000
Tb: 0.5000 0.1109 0.8891
Tb: 0.8891 0.5000 0.1109
Tb: 0.1500 0.3665 0.3665
Dy: 0.6842 0.2627 0.6842
Dy: 0.6842 0.6842 0.2627
Dy: 0.2627 0.6842 0.6842
Dy: 0.3158 0.3158 0.7373
Dy: 0.3158 0.7373 0.3158
Dy: 0.7373 0.3158 0.3158

## Properties
For the total energy, the calculation gives -77.0 eV per cell. As for the energy of formation from the pure elements: 0.428 eV per atom. The space group is R-3m, No. 166.


Record 4
First-principles (PBE-GGA) data for Hg2AsSe after structural relaxation, as listed in Alexandria.

Unit cell a=3.6685 b=2.8991 c=10.9672 alpha=119.77 beta=90.00 gamma=90.00
Fractional coordinates of all 4 atoms:
As: 0.5000 0.8173 0.7283
Hg: 0.0000 0.3266 0.9821
Hg: 0.5000 0.9015 0.2553
Se: 0.0000 0.4546 0.5343

## Properties
For the total energy, the calculation gives -8.4 eV per cell. The calculation puts the formation energy from raw total energies at 0.0840 eV/atom. The space group is Pm, No. 6.


Record 5
First-principles (PBE-GGA) data for Ac2PrIn6 after structural relaxation, as listed in Alexandria.

Unit cell a=3.9164 b=8.8906 c=8.8906 alpha=120.00 beta=90.00 gamma=90.00
Fractional coordinates of all 9 atoms:
Ac: 0.0000 0.3333 0.6667
Ac: 0.0000 0.6667 0.3333
Pr: 0.0000 0.0000 0.0000
In: 0.5000 0.3294 0.3294
In: 0.5000 0.6706 0.6706
In: 0.5000 0.0000 0.6706
In: 0.5000 0.6706 0.0000
In: 0.5000 0.3294 0.0000
In: 0.5000 0.0000 0.3294

## Properties
For the total energy, the calculation gives -33.4 eV per cell. As for the energy of formation from the pure elements: -0.441 eV per atom. The space group is P6/mmm, No. 191.


Record 6
First-principles (PBE-GGA) data for LiLaAsO2 after structural relaxation, as listed in Alexandria.

Unit cell a=4.2925 b=8.8861 c=4.2925 alpha=90.00 beta=90.00 gamma=90.00
Fractional coordinates of all 5 atoms:
As: 0.5000 0.5000 0.5000
Li: 0.0000 0.5000 0.0000
O: 0.0000 0.0000 0.5000
O: 0.5000 0.0000 0.0000
La: 0.0000 0.0000 0.0000

## Properties
For the total energy, the calculation gives -26.0 eV per cell. The calculation puts the formation energy from raw total energies at -0.9174 eV/atom. The space group is P4/mmm, No. 123.